# SmEuAgRu

An optimized crystal structure of SmEuAgRu (PBE-GGA, the Alexandria database).

extended XYZ file:
```
4
Lattice="0.0000 3.5942 3.5942 3.5942 0.0000 3.5942 3.5942 3.5942 0.0000" Properties=species:S:1:pos:R:3 pbc="T T T"
Sm 0.0000 0.0000 0.0000
Eu 3.5942 3.5942 3.5942
Ag 1.7971 1.7971 1.7971
Ru 5.3913 5.3913 5.3913
```

Summary:
spin magnetization = 6.783 μB per formula unit
E_tot = -6.88 eV per atom
symmetry = No. 216
formation energy = -0.103 eV/atom